(1)
# GGA-PBE TlMoIr2, relaxed
# M_tot   0.0000 μB per atom
# Energy relative to the elements   612 meV/atom
# Space-group type   Pmmm (47)
# Relative energy among the computed polymorphs   524 meV/atom
data_TlMoIr2
_chemical_formula_sum 'Tl1 Mo1 Ir2'
_cell_length_a 2.926
_cell_length_b 4.838
_cell_length_c 4.737
_cell_angle_alpha 90.00
_cell_angle_beta 90.00
_cell_angle_gamma 90.00
_space_group_name_H-M_alt 'P 1'
_space_group_IT_number 1
loop_
_space_group_symop_operation_xyz
'x,y,z'
loop_
_atom_site_label
_atom_site_type_symbol
_atom_site_fract_x
_atom_site_fract_y
_atom_site_fract_z
Ir1 Ir 0.000 0.000 0.000
Ir2 Ir 0.500 0.500 0.000
Mo1 Mo 0.500 0.000 0.500
Tl1 Tl 0.000 0.500 0.500

***

(2)
# GGA-PBE In4Hg2Te, relaxed
# M_tot   0.0000 μB per atom
# Formation energy (no corrections)   -0.07 eV/atom
# Space-group type   C2/m (12)
data_In4Hg2Te
_chemical_formula_sum 'In4 Hg2 Te1'
_cell_length_a 4.184
_cell_length_b 4.184
_cell_length_c 13.087
_cell_angle_alpha 77.15
_cell_angle_beta 77.15
_cell_angle_gamma 68.53
_space_group_name_H-M_alt 'P 1'
_space_group_IT_number 1
loop_
_space_group_symop_operation_xyz
'x,y,z'
loop_
_atom_site_label
_atom_site_type_symbol
_atom_site_fract_x
_atom_site_fract_y
_atom_site_fract_z
Te1 Te 0.000 0.000 0.000
Hg1 Hg 0.560 0.560 0.293
Hg2 Hg 0.440 0.440 0.707
In1 In 0.853 0.853 0.428
In2 In 0.722 0.722 0.851
In3 In 0.278 0.278 0.149
In4 In 0.147 0.147 0.572

***

(3)
# GGA-PBE CeTiGe, relaxed
# M_tot   0.2369 μB per atom
# Energy relative to the elements   -579 meV/atom
# Space-group type   P4/nmm (129)
data_CeTiGe
_chemical_formula_sum 'Ce2 Ti2 Ge2'
_cell_length_a 4.064
_cell_length_b 4.064
_cell_length_c 7.925
_cell_angle_alpha 90.00
_cell_angle_beta 90.00
_cell_angle_gamma 90.00
_space_group_name_H-M_alt 'P 1'
_space_group_IT_number 1
loop_
_space_group_symop_operation_xyz
'x,y,z'
loop_
_atom_site_label
_atom_site_type_symbol
_atom_site_fract_x
_atom_site_fract_y
_atom_site_fract_z
Ce1 Ce 0.000 0.500 0.353
Ce2 Ce 0.500 0.000 0.647
Ti1 Ti 0.500 0.500 0.000
Ti2 Ti 0.000 0.000 0.000
Ge1 Ge 0.500 0.000 0.229
Ge2 Ge 0.000 0.500 0.771

***

(4)
# GGA-PBE Dy2NpAl9, relaxed
# M_tot   0.3850 μB per atom
# Energy relative to the elements   -277 meV/atom
# Space-group type   R-3m (166)
data_Dy2NpAl9
_chemical_formula_sum 'Dy2 Np1 Al9'
_cell_length_a 5.522
_cell_length_b 5.522
_cell_length_c 9.376
_cell_angle_alpha 72.87
_cell_angle_beta 72.87
_cell_angle_gamma 60.00
_space_group_name_H-M_alt 'P 1'
_space_group_IT_number 1
loop_
_space_group_symop_operation_xyz
'x,y,z'
loop_
_atom_site_label
_atom_site_type_symbol
_atom_site_fract_x
_atom_site_fract_y
_atom_site_fract_z
Dy1 Dy 0.860 0.860 0.420
Dy2 Dy 0.140 0.140 0.580
Np1 Np 0.000 0.000 0.000
Al1 Al 0.665 0.665 0.004
Al2 Al 0.335 0.335 0.996
Al3 Al 0.500 0.500 0.500
Al4 Al 0.414 0.414 0.249
Al5 Al 0.923 0.414 0.249
Al6 Al 0.414 0.923 0.249
Al7 Al 0.586 0.586 0.751
Al8 Al 0.586 0.077 0.751
Al9 Al 0.077 0.586 0.751

***

(5)
# GGA-PBE Sr2ZnPPd6, relaxed
# M_tot   0.0000 μB per atom
# Energy relative to the elements   -623 meV/atom
# Space-group type   P-1 (2)
data_Sr2ZnPPd6
_chemical_formula_sum 'Sr2 Zn1 P1 Pd6'
_cell_length_a 6.400
_cell_length_b 6.985
_cell_length_c 7.031
_cell_angle_alpha 49.92
_cell_angle_beta 69.11
_cell_angle_gamma 92.17
_space_group_name_H-M_alt 'P 1'
_space_group_IT_number 1
loop_
_space_group_symop_operation_xyz
'x,y,z'
loop_
_atom_site_label
_atom_site_type_symbol
_atom_site_fract_x
_atom_site_fract_y
_atom_site_fract_z
Sr1 Sr 0.733 0.275 0.541
Sr2 Sr 0.267 0.725 0.459
Zn1 Zn 0.000 0.000 0.000
P1 P 0.500 0.500 0.000
Pd1 Pd 0.259 0.211 0.484
Pd2 Pd 0.851 0.748 0.896
Pd3 Pd 0.260 0.747 0.946
Pd4 Pd 0.740 0.253 0.054
Pd5 Pd 0.149 0.252 0.104
Pd6 Pd 0.741 0.789 0.516

***

(6)
# GGA-PBE NaHfV3, relaxed
# M_tot   0.9950 μB per atom
# Energy relative to the elements   1644 meV/atom
# Space-group type   Pm-3m (221)
# Relative energy among the computed polymorphs   0 meV/atom
data_NaHfV3
_chemical_formula_sum 'Na1 Hf1 V3'
_cell_length_a 4.873
_cell_length_b 4.873
_cell_length_c 4.873
_cell_angle_alpha 90.00
_cell_angle_beta 90.00
_cell_angle_gamma 90.00
_space_group_name_H-M_alt 'P 1'
_space_group_IT_number 1
loop_
_space_group_symop_operation_xyz
'x,y,z'
loop_
_atom_site_label
_atom_site_type_symbol
_atom_site_fract_x
_atom_site_fract_y
_atom_site_fract_z
Na1 Na 0.500 0.500 0.500
Hf1 Hf 0.000 0.000 0.000
V1 V 0.000 0.500 0.000
V2 V 0.000 0.000 0.500
V3 V 0.500 0.000 0.000

***

(7)
# GGA-PBE NiP, relaxed
# M_tot   0.0000 μB per atom
# Energy relative to the elements   -12 meV/atom
# Space-group type   I4_1/amd (141)
data_NiP
_chemical_formula_sum 'Ni2 P2'
_cell_length_a 4.654
_cell_length_b 4.654
_cell_length_c 4.654
_cell_angle_alpha 136.36
_cell_angle_beta 136.36
_cell_angle_gamma 63.42
_space_group_name_H-M_alt 'P 1'
_space_group_IT_number 1
loop_
_space_group_symop_operation_xyz
'x,y,z'
loop_
_atom_site_label
_atom_site_type_symbol
_atom_site_fract_x
_atom_site_fract_y
_atom_site_fract_z
Ni1 Ni 0.000 0.000 0.000
Ni2 Ni 0.750 0.250 0.500
P1 P 0.500 0.500 0.000
P2 P 0.250 0.750 0.500

***

(8)
# GGA-PBE NaTbSiO4, relaxed
# M_tot   0.0000 μB per atom
# Formation energy (no corrections)   -2.86 eV/atom
# Space-group type   P2_1/m (11)
data_NaTbSiO4
_chemical_formula_sum 'Na2 Tb2 Si2 O8'
_cell_length_a 5.772
_cell_length_b 5.533
_cell_length_c 6.889
_cell_angle_alpha 90.00
_cell_angle_beta 89.62
_cell_angle_gamma 90.00
_space_group_name_H-M_alt 'P 1'
_space_group_IT_number 1
loop_
_space_group_symop_operation_xyz
'x,y,z'
loop_
_atom_site_label
_atom_site_type_symbol
_atom_site_fract_x
_atom_site_fract_y
_atom_site_fract_z
Na1 Na 0.597 0.750 0.864
Na2 Na 0.403 0.250 0.136
Tb1 Tb 0.804 0.750 0.427
Tb2 Tb 0.196 0.250 0.573
Si1 Si 0.309 0.750 0.342
Si2 Si 0.691 0.250 0.658
O1 O 0.870 0.483 0.676
O2 O 0.130 0.983 0.324
O3 O 0.130 0.517 0.324
O4 O 0.870 0.017 0.676
O5 O 0.527 0.750 0.188
O6 O 0.473 0.250 0.812
O7 O 0.424 0.750 0.560
O8 O 0.576 0.250 0.440

***

(9)
# GGA-PBE TlCrP, relaxed
# M_tot   0.0000 μB per atom
# Energy relative to the elements   308 meV/atom
# Space-group type   P-6m2 (187)
# Relative energy among the computed polymorphs   460 meV/atom
data_TlCrP
_chemical_formula_sum 'Tl1 Cr1 P1'
_cell_length_a 3.913
_cell_length_b 3.913
_cell_length_c 4.055
_cell_angle_alpha 90.00
_cell_angle_beta 90.00
_cell_angle_gamma 120.00
_space_group_name_H-M_alt 'P 1'
_space_group_IT_number 1
loop_
_space_group_symop_operation_xyz
'x,y,z'
loop_
_atom_site_label
_atom_site_type_symbol
_atom_site_fract_x
_atom_site_fract_y
_atom_site_fract_z
Cr1 Cr 0.000 0.000 0.167
P1 P 0.667 0.333 0.166
Tl1 Tl 0.333 0.667 0.667

***

(10)
# GGA-PBE RbBeS2O8, relaxed
# M_tot   0.0872 μB per atom
# Formation energy (no corrections)   -1.52 eV/atom
# Space-group type   P-3 (147)
data_RbBeS2O8
_chemical_formula_sum 'Rb1 Be1 S2 O8'
_cell_length_a 4.834
_cell_length_b 4.834
_cell_length_c 8.298
_cell_angle_alpha 90.00
_cell_angle_beta 90.00
_cell_angle_gamma 120.00
_space_group_name_H-M_alt 'P 1'
_space_group_IT_number 1
loop_
_space_group_symop_operation_xyz
'x,y,z'
loop_
_atom_site_label
_atom_site_type_symbol
_atom_site_fract_x
_atom_site_fract_y
_atom_site_fract_z
Rb1 Rb 0.000 0.000 0.000
Be1 Be 0.000 0.000 0.500
S1 S 0.667 0.333 0.313
S2 S 0.333 0.667 0.687
O1 O 0.333 0.667 0.866
O2 O 0.342 0.250 0.369
O3 O 0.750 0.092 0.369
O4 O 0.667 0.333 0.134
O5 O 0.250 0.908 0.631
O6 O 0.658 0.750 0.631
O7 O 0.092 0.342 0.631
O8 O 0.908 0.658 0.369

***

(11)
# GGA-PBE MgSi, relaxed
# M_tot   0.0000 μB per atom
# Formation energy (no corrections)   0.04 eV/atom
# Space-group type   P-1 (2)
data_MgSi
_chemical_formula_sum 'Mg2 Si2'
_cell_length_a 3.128
_cell_length_b 4.516
_cell_length_c 5.693
_cell_angle_alpha 106.17
_cell_angle_beta 105.59
_cell_angle_gamma 90.19
_space_group_name_H-M_alt 'P 1'
_space_group_IT_number 1
loop_
_space_group_symop_operation_xyz
'x,y,z'
loop_
_atom_site_label
_atom_site_type_symbol
_atom_site_fract_x
_atom_site_fract_y
_atom_site_fract_z
Mg1 Mg 0.861 0.763 0.216
Mg2 Mg 0.139 0.237 0.784
Si1 Si 0.595 0.709 0.692
Si2 Si 0.405 0.291 0.308

***

(12)
# GGA-PBE TlCuAs2Br, relaxed
# M_tot   0.0006 μB per atom
# Formation energy (no corrections)   0.24 eV/atom
# Space-group type   P4/mmm (123)
# Relative energy among the computed polymorphs   0 meV/atom
data_TlCuAs2Br
_chemical_formula_sum 'Tl1 Cu1 As2 Br1'
_cell_length_a 4.593
_cell_length_b 4.593
_cell_length_c 7.182
_cell_angle_alpha 90.00
_cell_angle_beta 90.00
_cell_angle_gamma 90.00
_space_group_name_H-M_alt 'P 1'
_space_group_IT_number 1
loop_
_space_group_symop_operation_xyz
'x,y,z'
loop_
_atom_site_label
_atom_site_type_symbol
_atom_site_fract_x
_atom_site_fract_y
_atom_site_fract_z
Tl1 Tl 0.500 0.500 0.500
Cu1 Cu 0.000 0.000 0.000
As1 As 0.000 0.500 0.000
As2 As 0.500 0.000 0.000
Br1 Br 0.000 0.000 0.500

***

| no. | volume (Å³/cell) | N(E_F) (states/eV per cell) |
| --- | --- | --- |
| 1 | 67.1 | 3.95 |
| 2 | 205.4 | 2.37 |
| 3 | 130.9 | 11.40 |
| 4 | 232.8 | 15.30 |
| 5 | 208.4 | 3.85 |
| 6 | 115.7 | 9.20 |
| 7 | 47.4 | 1.66 |
| 8 | 220.0 | 0.00 |
| 9 | 53.8 | 2.32 |
| 10 | 167.9 | 7.23 |
| 11 | 74.1 | 1.04 |
| 12 | 151.5 | 3.54 |